1.
Entry from the Alexandria database: IrRh5 after structural relaxation (GGA-PBE).

a = 7.238 Å, b = 7.238 Å, c = 4.425 Å
α = 90.00°, β = 90.00°, γ = 158.36°
Sites, in units of the cell vectors:
Rh (0.556, 0.444, 0.500)
Rh (0.334, 0.666, 0.000)
Rh (0.889, 0.111, 0.500)
Rh (0.223, 0.777, 0.500)
Rh (0.665, 0.335, 0.000)
Ir (0.000, 0.000, 0.000)

Space-group type = No. 38
Mass density = 13.731 g cm⁻³
Total moment = 0.0 μB/f.u.
Crystal system = orthorhombic
Distance to the lowest polymorph of the same formula = 0.015 eV/atom
Calculated formation energy = 0.013 eV/atom
DFT total energy = -7.590 eV per atom

---

2.
Entry from the Alexandria database: SmAl2Hg after structural relaxation (GGA-PBE).

a = 3.134 Å, b = 5.721 Å, c = 5.721 Å
α = 118.97°, β = 90.00°, γ = 90.00°
Sites, in units of the cell vectors:
Al (0.500, 0.445, 0.055)
Al (0.500, 0.945, 0.555)
Hg (0.500, 0.445, 0.555)
Sm (0.000, 0.945, 0.055)

Space-group type = No. 65
Mass density = 7.493 g cm⁻³
Total moment = 0.0 μB/f.u.
Crystal system = orthorhombic
Distance to the lowest polymorph of the same formula = 0.122 eV/atom
Calculated formation energy = -0.217 eV/atom
DFT total energy = -3.344 eV per atom

---

3.
Entry from the Alexandria database: CaBe2Si2Os after structural relaxation (GGA-PBE).

a = 3.912 Å, b = 3.912 Å, c = 6.823 Å
α = 90.00°, β = 90.00°, γ = 120.00°
Sites, in units of the cell vectors:
Os (0.000, 0.000, 0.500)
Be (0.667, 0.333, 0.628)
Be (0.333, 0.667, 0.372)
Si (0.333, 0.667, 0.712)
Si (0.667, 0.333, 0.288)
Ca (0.000, 0.000, 0.000)

Space-group type = No. 164
Mass density = 5.592 g cm⁻³
Total moment = 0.0 μB/f.u.
Crystal system = trigonal
DFT total energy = -5.457 eV per atom
Raw formation energy = -0.202 eV/atom